# 1
La2Ce4Sn3Cl2 | Alexandria | PBE | relaxed; space group = I4/mmm, No. 139; DOS at the Fermi energy = 22.49 states/eV/cell; V = 31.2 Å³/atom; raw formation energy = -76.97 kJ per mole of atoms; uncorrected energy = -5.2788 eV/atom
1.0
-2.6449 2.6449 12.2781
2.6449 -2.6449 12.2781
2.6449 2.6449 -12.2781
La Ce Sn Cl
2 4 3 2
direct
0.1980 0.1980 0.0000
0.8020 0.8020 0.0000
0.0845 0.5845 0.5000
0.4155 0.9155 0.5000
0.5845 0.0845 0.5000
0.9155 0.4155 0.5000
0.3313 0.3313 0.0000
0.5000 0.5000 0.0000
0.6687 0.6687 0.0000
0.0749 0.0749 0.0000
0.9251 0.9251 0.0000

# 2
NdHgO3 | Alexandria | PBE | relaxed; space group = Cmcm, No. 63; DOS at the Fermi energy = 9.60 states/eV/cell; V = 16.4 Å³/atom; raw formation energy = -152.97 kJ per mole of atoms; uncorrected energy = -5.5742 eV/atom
1.0
1.9040 -7.2342 0.0000
1.9040 7.2342 0.0000
0.0000 0.0000 5.9698
Nd Hg O
2 2 6
direct
0.1918 0.8082 0.7500
0.8082 0.1918 0.2500
0.4430 0.5570 0.7500
0.5570 0.4430 0.2500
0.0213 0.9787 0.7500
0.3243 0.6757 0.0012
0.3243 0.6757 0.4988
0.6757 0.3243 0.5012
0.6757 0.3243 0.9988
0.9787 0.0213 0.2500

# 3
ScH12Pt7 | Alexandria | PBE | relaxed; space group = R-3, No. 148; DOS at the Fermi energy = 3.48 states/eV/cell; V = 10.4 Å³/atom; uncorrected energy = -4.4700 eV/atom
1.0
5.6310 3.2510 1.8940
-5.6310 3.2510 1.8940
0.0000 -6.5021 1.8940
Sc H Pt
1 12 7
direct
0.0000 0.0000 0.0000
0.1474 0.6520 0.7020
0.2113 0.4707 0.2945
0.2945 0.2113 0.4707
0.2980 0.8526 0.3480
0.3480 0.2980 0.8526
0.4707 0.2945 0.2113
0.5293 0.7055 0.7887
0.6520 0.7020 0.1474
0.7020 0.1474 0.6520
0.7055 0.7887 0.5293
0.7887 0.5293 0.7055
0.8526 0.3480 0.2980
0.0700 0.8800 0.3468
0.1200 0.6532 0.9300
0.3468 0.0700 0.8800
0.5000 0.5000 0.5000
0.6532 0.9300 0.1200
0.8800 0.3468 0.0700
0.9300 0.1200 0.6532

# 4
ZnOsBr2 | Alexandria | PBE | relaxed; space group = C2/m, No. 12; DOS at the Fermi energy = 6.23 states/eV/cell; E above lowest polymorph = 824.1 meV/atom; V = 20.1 Å³/atom; raw formation energy = 97.30 kJ per mole of atoms; uncorrected energy = -2.9540 eV/atom
1.0
6.3324 0.0000 0.0000
0.0000 8.5305 0.0000
-1.7749 0.0000 2.9746
Zn Os Br
2 2 4
direct
0.0000 0.0000 0.0000
0.5000 0.5000 0.0000
0.0000 0.5000 0.0000
0.5000 0.0000 0.0000
0.2500 0.2500 0.0000
0.2500 0.7500 0.0000
0.7500 0.2500 0.0000
0.7500 0.7500 0.0000

# 5
Na2HgP | Alexandria | PBE | relaxed; space group = Fm-3m, No. 225; DOS at the Fermi energy = 8.94 states/eV/cell; E above lowest polymorph = 0.0 meV/atom; V = 22.0 Å³/atom; ΔE_f = -0.12 eV/atom; uncorrected energy = -2.2075 eV/atom
1.0
7.0591 0.0000 0.0000
0.0000 7.0591 0.0000
0.0000 0.0000 7.0591
Na Hg P
8 4 4
direct
0.2500 0.2500 0.2500
0.2500 0.2500 0.7500
0.2500 0.7500 0.2500
0.2500 0.7500 0.7500
0.7500 0.2500 0.2500
0.7500 0.2500 0.7500
0.7500 0.7500 0.2500
0.7500 0.7500 0.7500
0.0000 0.0000 0.0000
0.0000 0.5000 0.5000
0.5000 0.0000 0.5000
0.5000 0.5000 0.0000
0.0000 0.0000 0.5000
0.0000 0.5000 0.0000
0.5000 0.0000 0.0000
0.5000 0.5000 0.5000

# 6
Sc2CuSnSb | Alexandria | PBE | relaxed; space group = P4/mmm, No. 123; DOS at the Fermi energy = 5.19 states/eV/cell; V = 32.2 Å³/atom; raw formation energy = 60.36 kJ per mole of atoms; uncorrected energy = -4.3513 eV/atom
1.0
5.3433 0.0000 0.0000
0.0000 5.3433 0.0000
0.0000 0.0000 5.6304
Sc Cu Sn Sb
2 1 1 1
direct
0.0000 0.5000 0.0000
0.5000 0.0000 0.0000
0.0000 0.0000 0.5000
0.5000 0.5000 0.5000
0.5000 0.5000 0.0000

# 7
CdCo2Ag | Alexandria | PBE | relaxed; space group = I4/mmm, No. 139; DOS at the Fermi energy = 12.94 states/eV/cell; V = 15.1 Å³/atom; ΔE_f = 0.43 eV/atom; uncorrected energy = -4.0662 eV/atom
1.0
3.8616 0.0000 0.0000
0.0000 3.8616 0.0000
0.0000 0.0000 8.0753
Cd Co Ag
2 4 2
direct
0.0000 0.0000 0.0000
0.5000 0.5000 0.5000
0.0000 0.5000 0.2500
0.0000 0.5000 0.7500
0.5000 0.0000 0.2500
0.5000 0.0000 0.7500
0.0000 0.0000 0.5000
0.5000 0.5000 0.0000

# 8
CoGe3B | Alexandria | PBE | relaxed; space group = Pm-3m, No. 221; DOS at the Fermi energy = 6.90 states/eV/cell; V = 15.9 Å³/atom; ΔE_f = 0.94 eV/atom; uncorrected energy = -4.5889 eV/atom
1.0
4.2958 0.0000 0.0000
0.0000 4.2958 0.0000
0.0000 0.0000 4.2958
Co Ge B
1 3 1
direct
0.0000 0.0000 0.0000
0.0000 0.5000 0.5000
0.5000 0.0000 0.5000
0.5000 0.5000 0.0000
0.5000 0.5000 0.5000